1.
## Dy4YHo3Se8 (PBE-GGA)

Data for a geometry-optimized Dy4YHo3Se8 structure.

Cell lengths 8.137, 8.143, 8.137 Å; angles 119.98, 120.00, 90.00 degrees
Fractional positions:
Se  0.750  0.251  0.001
Se  0.251  0.749  0.501
Dy  0.500  0.000  0.500
Se  0.252  0.251  0.001
Se  0.749  0.251  0.499
Dy  0.000  0.000  0.000
Y  0.000  0.500  0.000
Se  0.250  0.749  0.999
Se  0.749  0.748  0.498
Ho  0.500  0.500  0.500
Se  0.251  0.252  0.502
Ho  0.000  0.500  0.500
Ho  0.500  0.500  0.000
Dy  0.500  0.000  0.000
Se  0.748  0.749  0.999
Dy  0.000  0.000  0.500

Crystal system = trigonal
ΔE_f (raw) = -1.736 eV/atom
DOS(E_F) = 10.506 states/eV per cell
Space group = R-3m, No. 166

---

2.
## La3Ru (PBE-GGA)

Data for a geometry-optimized La3Ru structure.

Cell lengths 4.167, 5.227, 5.441 Å; angles 90.00, 90.00, 90.00 degrees
Fractional positions:
La  0.000  0.000  0.991
La  0.500  0.500  0.937
La  0.500  0.000  0.440
Ru  0.000  0.500  0.299

Crystal system = orthorhombic
ΔE_f = 0.141 eV/atom
DOS(E_F) = 5.460 states/eV per cell
Space group = Pmm2, No. 25

---

3.
## DyMg3Ru (PBE-GGA)

Data for a geometry-optimized DyMg3Ru structure.

Cell lengths 5.310, 5.887, 7.819 Å; angles 90.00, 115.18, 90.00 degrees
Fractional positions:
Mg  0.319  0.195  0.072
Mg  0.145  0.948  0.396
Dy  0.712  0.948  0.865
Dy  0.323  0.448  0.695
Mg  0.890  0.448  0.165
Ru  0.144  0.948  0.746
Ru  0.890  0.448  0.814
Mg  0.715  0.695  0.488
Mg  0.319  0.701  0.072
Mg  0.715  0.201  0.488

Crystal system = monoclinic
ΔE_f = -0.150 eV/atom
DOS(E_F) = 6.331 states/eV per cell
Space group = P2_1/m, No. 11

---

4.
## NpTl2AgF6 (PBE-GGA)

Data for a geometry-optimized NpTl2AgF6 structure.

Cell lengths 5.563, 6.508, 6.690 Å; angles 119.11, 100.19, 90.00 degrees
Site moments in Bohr magnetons follow the coordinates.
Fractional positions:
Tl  0.752  0.791  0.582  0.01
F  0.677  0.358  0.715  -0.02
F  0.841  0.362  0.201  -0.01
F  0.159  0.638  0.799  -0.01
F  0.841  0.839  0.201  -0.01
F  0.159  0.161  0.799  -0.01
F  0.323  0.642  0.285  -0.02
Ag  0.500  0.000  0.000  0.01
Np  0.000  0.500  0.000  3.41
Tl  0.248  0.209  0.418  0.01

Crystal system = monoclinic
ΔE_f (raw) = -2.277 eV/atom
DOS(E_F) = 15.104 states/eV per cell
Space group = C2/m, No. 12

---

5.
## CeUTcIr (PBE-GGA)

Data for a geometry-optimized CeUTcIr structure.

Cell lengths 4.853, 4.853, 4.853 Å; angles 60.00, 60.00, 60.00 degrees
Site moments in Bohr magnetons follow the coordinates.
Fractional positions:
Ce  0.000  0.000  0.000  0.30
Tc  0.250  0.250  0.250  -0.28
U  0.500  0.500  0.500  1.81
Ir  0.750  0.750  0.750  -0.12

Crystal system = cubic
ΔE_f = -0.204 eV/atom
DOS(E_F) = 7.845 states/eV per cell
Space group = F-43m, No. 216

---

6.
## ZnTcSe2 (PBE-GGA)

Data for a geometry-optimized ZnTcSe2 structure.

Cell lengths 5.065, 5.065, 6.760 Å; angles 67.22, 67.22, 35.40 degrees
Fractional positions:
Zn  0.206  0.206  0.396
Se  0.824  0.824  0.645
Se  0.977  0.977  0.093
Tc  0.493  0.493  0.366

Crystal system = monoclinic
ΔE_f (raw) = -0.071 eV/atom
DOS(E_F) = 2.126 states/eV per cell
Space group = Cm, No. 8

---

7.
## LiAc2USe5 (PBE-GGA)

Data for a geometry-optimized LiAc2USe5 structure.

Cell lengths 4.313, 9.212, 12.706 Å; angles 90.00, 90.00, 103.54 degrees
Site moments in Bohr magnetons follow the coordinates.
Fractional positions:
Se  0.287  0.574  0.663  -0.04
Ac  0.128  0.255  0.305  0.03
Li  0.541  0.082  0.964  0.00
Li  0.459  0.918  0.464  0.00
U  0.799  0.599  0.509  2.55
Ac  0.108  0.215  0.687  0.01
Se  0.503  0.006  0.278  0.00
Se  0.497  0.994  0.778  0.00
Se  0.637  0.275  0.501  -0.02
U  0.201  0.401  0.009  2.55
Se  0.688  0.376  0.856  -0.04
Ac  0.892  0.785  0.187  0.01
Se  0.312  0.624  0.356  -0.04
Se  0.363  0.725  0.001  -0.02
Se  0.050  0.099  0.060  -0.03
Se  0.713  0.426  0.163  -0.04
Ac  0.872  0.745  0.805  0.03
Se  0.950  0.901  0.560  -0.03

Crystal system = orthorhombic
ΔE_f (raw) = -1.628 eV/atom
DOS(E_F) = 13.396 states/eV per cell
Space group = Cmc2_1, No. 36

---

8.
## Y3HPb (PBE-GGA)

Data for a geometry-optimized Y3HPb structure.

Cell lengths 9.109, 9.109, 5.671 Å; angles 90.00, 90.00, 134.72 degrees
Site moments in Bohr magnetons follow the coordinates.
Fractional positions:
H  0.395  0.605  0.250  0.00
Y  0.414  0.078  0.750  -0.01
H  0.605  0.395  0.750  0.00
Y  0.586  0.922  0.250  -0.01
Pb  0.173  0.827  0.250  0.00
Y  0.922  0.586  0.750  -0.01
Y  0.000  0.000  0.500  0.07
Pb  0.827  0.173  0.750  0.00
Y  0.000  0.000  0.000  0.07
Y  0.078  0.414  0.250  -0.01

Crystal system = orthorhombic
DOS(E_F) = 13.375 states/eV per cell
Space group = Cmcm, No. 63
E = -5.1933 eV per atom

---

9.
## TcHgN3 (PBE-GGA)

Data for a geometry-optimized TcHgN3 structure.

Cell lengths 3.948, 3.948, 3.948 Å; angles 90.00, 90.00, 90.00 degrees
Fractional positions:
Hg  0.500  0.500  0.500
N  0.500  0.000  0.000
Tc  0.000  0.000  0.000
N  0.000  0.000  0.500
N  0.000  0.500  0.000

Crystal system = cubic
ΔE_f (raw) = 1.114 eV/atom
DOS(E_F) = 4.005 states/eV per cell
Space group = Pm-3m, No. 221

---

10.
## Ac2La3PrTe6 (PBE-GGA)

Data for a geometry-optimized Ac2La3PrTe6 structure.

Cell lengths 8.015, 8.015, 8.029 Å; angles 99.60, 99.60, 120.26 degrees
Fractional positions:
La  0.830  0.170  0.500
La  0.500  0.500  0.500
Ac  0.335  0.665  0.000
Te  0.589  0.916  0.746
Ac  0.665  0.335  0.000
Te  0.916  0.589  0.746
Te  0.411  0.084  0.254
Te  0.760  0.760  0.259
Te  0.240  0.240  0.741
Pr  0.000  0.000  0.000
Te  0.084  0.411  0.254
La  0.170  0.830  0.500

Crystal system = monoclinic
ΔE_f (raw) = -1.535 eV/atom
DOS(E_F) = 7.563 states/eV per cell
Space group = C2/m, No. 12

---

11.
## NbOs2Pt (PBE-GGA)

Data for a geometry-optimized NbOs2Pt structure.

Cell lengths 3.887, 3.887, 9.596 Å; angles 78.31, 78.31, 90.00 degrees
Fractional positions:
Pt  0.750  0.250  0.500
Os  0.074  0.625  0.250
Os  0.875  0.926  0.750
Nb  0.250  0.750  0.500
Os  0.676  0.125  0.250
Pt  0.000  0.000  0.000
Os  0.375  0.324  0.750
Nb  0.500  0.500  0.000

Crystal system = tetragonal
ΔE_f = 0.405 eV/atom
DOS(E_F) = 8.744 states/eV per cell
Space group = I-42d, No. 122

---

12.
## Cu2AsIr (PBE-GGA)

Data for a geometry-optimized Cu2AsIr structure.

Cell lengths 4.193, 2.958, 4.509 Å; angles 90.06, 90.00, 90.00 degrees
Fractional positions:
Cu  0.500  0.125  0.275
Cu  0.000  0.125  0.975
Ir  0.000  0.625  0.476
As  0.500  0.625  0.774

Crystal system = orthorhombic
ΔE_f = 0.095 eV/atom
DOS(E_F) = 1.880 states/eV per cell
Space group = Pmm2, No. 25

---

13.
## CoTeRh2 (PBE-GGA)

Data for a geometry-optimized CoTeRh2 structure.

Cell lengths 5.325, 5.325, 2.989 Å; angles 73.96, 73.96, 118.68 degrees
Site moments in Bohr magnetons follow the coordinates.
Fractional positions:
Rh  0.500  0.500  0.000  0.10
Te  0.500  0.000  0.500  -0.01
Rh  0.000  0.000  0.000  0.10
Co  0.000  0.500  0.500  1.05

Crystal system = monoclinic
ΔE_f (raw) = 0.288 eV/atom
DOS(E_F) = 5.989 states/eV per cell
Space group = C2/m, No. 12

---

14.
## Na4NpSe4 (PBE-GGA)

Data for a geometry-optimized Na4NpSe4 structure.

Cell lengths 7.139, 7.139, 7.992 Å; angles 116.53, 116.53, 90.00 degrees
Site moments in Bohr magnetons follow the coordinates.
Fractional positions:
Se  0.658  0.658  0.759  -0.08
Se  0.101  0.101  0.759  -0.08
Na  0.706  0.706  0.411  0.00
Se  0.899  0.342  0.241  -0.08
Na  0.000  0.500  0.000  0.00
Na  0.294  0.294  0.589  0.00
Np  0.000  0.000  0.000  3.32
Se  0.342  0.899  0.241  -0.08
Na  0.500  0.000  0.000  0.00

Crystal system = tetragonal
ΔE_f (raw) = -0.946 eV/atom
DOS(E_F) = 6.875 states/eV per cell
Space group = I-42m, No. 121

---

15.
## LaTb2ThSb4 (PBE-GGA)

Data for a geometry-optimized LaTb2ThSb4 structure.

Cell lengths 4.490, 7.730, 7.781 Å; angles 70.48, 90.00, 90.00 degrees
Fractional positions:
Tb  0.000  0.000  0.000
Sb  0.000  0.758  0.750
Sb  0.000  0.242  0.250
Sb  0.500  0.240  0.757
Tb  0.500  0.000  0.500
Th  0.500  0.500  0.000
La  0.000  0.500  0.500
Sb  0.500  0.760  0.243

Crystal system = monoclinic
ΔE_f (raw) = -1.136 eV/atom
DOS(E_F) = 1.753 states/eV per cell
Space group = P2/m, No. 10

---

16.
## CaReTe2 (PBE-GGA)

Data for a geometry-optimized CaReTe2 structure.

Cell lengths 3.347, 3.347, 9.444 Å; angles 90.00, 90.00, 90.00 degrees
Fractional positions:
Re  0.500  0.500  0.769
Ca  0.000  0.000  0.538
Te  0.500  0.500  0.287
Te  0.000  0.000  0.906

Crystal system = tetragonal
ΔE_f (raw) = -0.035 eV/atom
DOS(E_F) = 2.818 states/eV per cell
Space group = P4mm, No. 99

---

17.
## W5Se3 (PBE-GGA)

Data for a geometry-optimized W5Se3 structure.

Cell lengths 5.473, 5.473, 4.638 Å; angles 90.00, 90.00, 110.21 degrees
Fractional positions:
Se  0.743  0.257  0.500
W  0.500  0.000  0.000
W  0.220  0.220  0.500
W  0.780  0.780  0.500
Se  0.257  0.743  0.500
Se  0.500  0.500  0.000
W  0.000  0.500  0.000
W  0.000  0.000  0.000

Crystal system = orthorhombic
ΔE_f (raw) = 0.640 eV/atom
DOS(E_F) = 7.740 states/eV per cell
Space group = Cmmm, No. 65

---

18.
## La2TbBr2N2 (PBE-GGA)

Data for a geometry-optimized La2TbBr2N2 structure.

Cell lengths 4.548, 4.548, 8.893 Å; angles 104.82, 104.82, 90.00 degrees
Site moments in Bohr magnetons follow the coordinates.
Fractional positions:
Br  0.179  0.179  0.357  0.01
Br  0.821  0.821  0.643  0.01
La  0.409  0.409  0.817  0.32
Tb  0.000  0.000  0.000  0.02
N  0.000  0.500  0.000  -0.02
La  0.591  0.591  0.183  0.32
N  0.500  0.000  0.000  -0.02

Crystal system = tetragonal
ΔE_f (raw) = -1.459 eV/atom
DOS(E_F) = 1.603 states/eV per cell
Space group = I4/mmm, No. 139

---

19.
## ZrBr3 (PBE-GGA)

Data for a geometry-optimized ZrBr3 structure.

Cell lengths 3.540, 3.540, 10.063 Å; angles 90.00, 90.00, 120.00 degrees
Fractional positions:
Br  0.000  0.000  0.569
Zr  0.667  0.333  0.750
Br  0.000  0.000  0.931
Br  0.667  0.333  0.250

Crystal system = hexagonal
ΔE_f (raw) = -0.872 eV/atom
DOS(E_F) = 3.722 states/eV per cell
Space group = P-6m2, No. 187

---

20.
## PuAgHgPd (PBE-GGA)

Data for a geometry-optimized PuAgHgPd structure.

Cell lengths 4.970, 4.970, 4.970 Å; angles 60.00, 60.00, 60.00 degrees
Site moments in Bohr magnetons follow the coordinates.
Fractional positions:
Hg  0.000  0.000  0.000  0.03
Pd  0.250  0.250  0.250  -0.02
Ag  0.500  0.500  0.500  0.02
Pu  0.750  0.750  0.750  5.31

Crystal system = cubic
ΔE_f = -0.045 eV/atom
DOS(E_F) = 17.682 states/eV per cell
Space group = F-43m, No. 216